Computed, not measured: a relaxed structure of NaTa3Be at the PBEsol level of DFT.

Density of states at the Fermi level in states/eV/cell: 5.65
Energy of formation in eV/atom: 1.093

```
data_NaTa3Be
_chemical_formula_sum 'Na1 Ta3 Be1'
_cell_length_a 4.4747
_cell_length_b 4.4747
_cell_length_c 4.4747
_cell_angle_alpha 90.00
_cell_angle_beta 90.00
_cell_angle_gamma 90.00
_symmetry_space_group_name_H-M 'P m -3 m'
_symmetry_Int_Tables_number 221
_symmetry_space_group_name_Hall '-P 4 2 3'
loop_
_atom_site_label
_atom_site_type_symbol
_atom_site_fract_x
_atom_site_fract_y
_atom_site_fract_z
Na1 Na 0.0000 0.0000 0.0000
Ta1 Ta 0.0000 0.5000 0.5000
Be1 Be 0.5000 0.5000 0.5000
```


Computed, not measured: a relaxed structure of NaTiBe2 at the PBEsol level of DFT.

Density of states at the Fermi level in states/eV/cell: 9.87
Energy of formation in eV/atom: 0.668

```
data_NaTiBe2
_chemical_formula_sum 'Na4 Ti4 Be8'
_cell_length_a 6.0827
_cell_length_b 6.0827
_cell_length_c 6.0827
_cell_angle_alpha 90.00
_cell_angle_beta 90.00
_cell_angle_gamma 90.00
_symmetry_space_group_name_H-M 'F m -3 m'
_symmetry_Int_Tables_number 225
_symmetry_space_group_name_Hall '-F 4 2 3'
loop_
_atom_site_label
_atom_site_type_symbol
_atom_site_fract_x
_atom_site_fract_y
_atom_site_fract_z
Na1 Na 0.0000 0.0000 0.0000
Ti1 Ti 0.0000 0.0000 0.5000
Be1 Be 0.2500 0.2500 0.2500
```


Computed, not measured: a relaxed structure of NaTiBe3 at the PBEsol level of DFT.

Density of states at the Fermi level in states/eV/cell: 4.60
Energy of formation in eV/atom: 1.433

```
data_NaTiBe3
_chemical_formula_sum 'Na1 Ti1 Be3'
_cell_length_a 4.6770
_cell_length_b 4.6770
_cell_length_c 4.6770
_cell_angle_alpha 90.00
_cell_angle_beta 90.00
_cell_angle_gamma 90.00
_symmetry_space_group_name_H-M 'P m -3 m'
_symmetry_Int_Tables_number 221
_symmetry_space_group_name_Hall '-P 4 2 3'
loop_
_atom_site_label
_atom_site_type_symbol
_atom_site_fract_x
_atom_site_fract_y
_atom_site_fract_z
Na1 Na 0.0000 0.0000 0.0000
Ti1 Ti 0.5000 0.5000 0.5000
Be1 Be 0.0000 0.5000 0.5000
```


Computed, not measured: a relaxed structure of NaTiBe2W at the PBEsol level of DFT.

Density of states at the Fermi level in states/eV/cell: 3.96
Energy of formation in eV/atom: 1.576

```
data_NaTiBe2W
_chemical_formula_sum 'Na1 Ti1 Be2 W1'
_cell_length_a 4.6804
_cell_length_b 4.6804
_cell_length_c 4.4452
_cell_angle_alpha 90.00
_cell_angle_beta 90.00
_cell_angle_gamma 90.00
_symmetry_space_group_name_H-M 'P 4/m m m'
_symmetry_Int_Tables_number 123
_symmetry_space_group_name_Hall '-P 4 2'
loop_
_atom_site_label
_atom_site_type_symbol
_atom_site_fract_x
_atom_site_fract_y
_atom_site_fract_z
Na1 Na 0.0000 0.0000 0.0000
Ti1 Ti 0.5000 0.5000 0.5000
Be1 Be 0.0000 0.5000 0.5000
W1 W 0.5000 0.5000 0.0000
```


Computed, not measured: a relaxed structure of NaBeTl2 at the PBEsol level of DFT.

Density of states at the Fermi level in states/eV/cell: 5.76
Energy of formation in eV/atom: 0.321

```
data_NaBeTl2
_chemical_formula_sum 'Na4 Be4 Tl8'
_cell_length_a 6.9640
_cell_length_b 6.9640
_cell_length_c 6.9640
_cell_angle_alpha 90.00
_cell_angle_beta 90.00
_cell_angle_gamma 90.00
_symmetry_space_group_name_H-M 'F m -3 m'
_symmetry_Int_Tables_number 225
_symmetry_space_group_name_Hall '-F 4 2 3'
loop_
_atom_site_label
_atom_site_type_symbol
_atom_site_fract_x
_atom_site_fract_y
_atom_site_fract_z
Na1 Na 0.0000 0.0000 0.0000
Be1 Be 0.0000 0.0000 0.5000
Tl1 Tl 0.2500 0.2500 0.2500
```


Computed, not measured: a relaxed structure of Na3YBe at the PBEsol level of DFT.

Density of states at the Fermi level in states/eV/cell: 6.44
Energy of formation in eV/atom: 1.588

```
data_Na3YBe
_chemical_formula_sum 'Na3 Y1 Be1'
_cell_length_a 6.3767
_cell_length_b 6.3767
_cell_length_c 6.3767
_cell_angle_alpha 90.00
_cell_angle_beta 90.00
_cell_angle_gamma 90.00
_symmetry_space_group_name_H-M 'P m -3 m'
_symmetry_Int_Tables_number 221
_symmetry_space_group_name_Hall '-P 4 2 3'
loop_
_atom_site_label
_atom_site_type_symbol
_atom_site_fract_x
_atom_site_fract_y
_atom_site_fract_z
Na1 Na 0.0000 0.0000 0.5000
Y1 Y 0.0000 0.0000 0.0000
Be1 Be 0.5000 0.5000 0.5000
```


Computed, not measured: a relaxed structure of NaBe2Zn2 at the PBEsol level of DFT.

Density of states at the Fermi level in states/eV/cell: 3.18
Energy of formation in eV/atom: 0.361

```
data_NaBe2Zn2
_chemical_formula_sum 'Na2 Be4 Zn4'
_cell_length_a 4.2079
_cell_length_b 4.2079
_cell_length_c 8.3212
_cell_angle_alpha 90.00
_cell_angle_beta 90.00
_cell_angle_gamma 90.00
_symmetry_space_group_name_H-M 'I 4/m m m'
_symmetry_Int_Tables_number 139
_symmetry_space_group_name_Hall '-I 4 2'
loop_
_atom_site_label
_atom_site_type_symbol
_atom_site_fract_x
_atom_site_fract_y
_atom_site_fract_z
Na1 Na 0.0000 0.0000 0.0000
Be1 Be 0.0000 0.0000 0.3692
Zn1 Zn 0.0000 0.5000 0.2500
```


Computed, not measured: a relaxed structure of NaBe3Zn at the PBEsol level of DFT.

Density of states at the Fermi level in states/eV/cell: 2.00
Energy of formation in eV/atom: 1.848

```
data_NaBe3Zn
_chemical_formula_sum 'Na1 Be3 Zn1'
_cell_length_a 4.3592
_cell_length_b 4.3592
_cell_length_c 4.3592
_cell_angle_alpha 90.00
_cell_angle_beta 90.00
_cell_angle_gamma 90.00
_symmetry_space_group_name_H-M 'P m -3 m'
_symmetry_Int_Tables_number 221
_symmetry_space_group_name_Hall '-P 4 2 3'
loop_
_atom_site_label
_atom_site_type_symbol
_atom_site_fract_x
_atom_site_fract_y
_atom_site_fract_z
Na1 Na 0.0000 0.0000 0.0000
Be1 Be 0.0000 0.0000 0.5000
Zn1 Zn 0.5000 0.5000 0.5000
```


Computed, not measured: a relaxed structure of Be12Nb at the PBEsol level of DFT.

Density of states at the Fermi level in states/eV/cell: 5.85
Energy of formation in eV/atom: -0.144

```
data_Be12Nb
_chemical_formula_sum 'Be24 Nb2'
_cell_length_a 7.2989
_cell_length_b 7.2989
_cell_length_c 4.1879
_cell_angle_alpha 90.00
_cell_angle_beta 90.00
_cell_angle_gamma 90.00
_symmetry_space_group_name_H-M 'I 4/m m m'
_symmetry_Int_Tables_number 139
_symmetry_space_group_name_Hall '-I 4 2'
loop_
_atom_site_label
_atom_site_type_symbol
_atom_site_fract_x
_atom_site_fract_y
_atom_site_fract_z
Be1 Be 0.0000 0.2168 0.0000
Be2 Be 0.0000 0.3520 0.5000
Be3 Be 0.2500 0.2500 0.2500
Nb1 Nb 0.0000 0.0000 0.5000
```


Computed, not measured: a relaxed structure of Be15Nb6Ni8 at the PBEsol level of DFT.

Density of states at the Fermi level in states/eV/cell: 43.89
Energy of formation in eV/atom: -0.395

```
data_Be15Nb6Ni8
_chemical_formula_sum 'Be60 Nb24 Ni32'
_cell_length_a 10.6192
_cell_length_b 10.6192
_cell_length_c 10.6192
_cell_angle_alpha 90.00
_cell_angle_beta 90.00
_cell_angle_gamma 90.00
_symmetry_space_group_name_H-M 'F m -3 m'
_symmetry_Int_Tables_number 225
_symmetry_space_group_name_Hall '-F 4 2 3'
loop_
_atom_site_label
_atom_site_type_symbol
_atom_site_fract_x
_atom_site_fract_y
_atom_site_fract_z
Be1 Be 0.0000 0.0000 0.0000
Be2 Be 0.0000 0.2500 0.2500
Be3 Be 0.1736 0.1736 0.3263
Nb1 Nb 0.0000 0.0000 0.2970
Ni1 Ni 0.1224 0.1224 0.1224
```


Computed, not measured: a relaxed structure of BeNbO3 at the PBEsol level of DFT.

Density of states at the Fermi level in states/eV/cell: 2.04
Formation energy (no corrections) in eV/f.u.: -8.976

```
data_BeNbO3
_chemical_formula_sum 'Be1 Nb1 O3'
_cell_length_a 3.3974
_cell_length_b 3.3974
_cell_length_c 3.3974
_cell_angle_alpha 90.00
_cell_angle_beta 90.00
_cell_angle_gamma 90.00
_symmetry_space_group_name_H-M 'P m -3 m'
_symmetry_Int_Tables_number 221
_symmetry_space_group_name_Hall '-P 4 2 3'
loop_
_atom_site_label
_atom_site_type_symbol
_atom_site_fract_x
_atom_site_fract_y
_atom_site_fract_z
Be1 Be 0.0000 0.0000 0.0000
Nb1 Nb 0.5000 0.5000 0.5000
O1 O 0.0000 0.0000 0.5000
```


Computed, not measured: a relaxed structure of Be2NbOs at the PBEsol level of DFT.

Density of states at the Fermi level in states/eV/cell: 6.52
Energy of formation in eV/atom: -0.092

```
data_Be2NbOs
_chemical_formula_sum 'Be8 Nb4 Os4'
_cell_length_a 5.7339
_cell_length_b 5.7339
_cell_length_c 5.7339
_cell_angle_alpha 90.00
_cell_angle_beta 90.00
_cell_angle_gamma 90.00
_symmetry_space_group_name_H-M 'F m -3 m'
_symmetry_Int_Tables_number 225
_symmetry_space_group_name_Hall '-F 4 2 3'
loop_
_atom_site_label
_atom_site_type_symbol
_atom_site_fract_x
_atom_site_fract_y
_atom_site_fract_z
Be1 Be 0.2500 0.2500 0.2500
Nb1 Nb 0.0000 0.0000 0.0000
Os1 Os 0.0000 0.0000 0.5000
```


Computed spin magnetization, in the same sequence as the records: 0.0002, 0.0001, 0.5720, 0.0065, 0.0001, 0.2875, 0.0000, 0.0000, 0.0000, 0.0000, 0.0000, 0.0000 μB per atom.
Computed DFT total energy, in the same sequence as the records: -7.52, -3.76, -2.91, -4.73, -2.34, -1.42, -2.15, -1.15, -4.67, -6.40, -7.91, -7.85 eV per atom.
Computed calculated volume, in the same sequence as the records: 17.92, 14.07, 20.46, 19.47, 21.11, 51.86, 14.73, 16.57, 8.58, 10.32, 7.84, 11.78 Å³ per atom.